First-principles (PBE) data for a relaxed structure of Ca2PmSi3Pt12, as listed in Alexandria via LeMat-Bulk.

The structure in POSCAR format:
```
Ca2PmSi3Pt12
1.0
4.607 2.660 4.359
-4.607 2.660 4.359
0.000 -5.319 4.359
Ca Pm Si Pt
2 1 3 12
direct
0.119 0.119 0.119
0.881 0.881 0.881
0.500 0.500 0.500
0.000 0.500 0.500
0.500 0.000 0.500
0.500 0.500 0.000
0.135 0.135 0.576
0.135 0.576 0.135
0.165 0.685 0.685
0.315 0.315 0.835
0.315 0.835 0.315
0.424 0.865 0.865
0.576 0.135 0.135
0.685 0.165 0.685
0.685 0.685 0.165
0.835 0.315 0.315
0.865 0.424 0.865
0.865 0.865 0.424
```

## Properties
**Final energy**: -5.94 eV/atom
**Raw formation energy**: -0.52 eV per atom
**Space-group type**: R-3m (166)